A plane-wave DFT calculation with PBE-GGA was carried out for a relaxed structure of Y3HfFe.

Cell lengths 5.461, 5.461, 5.461 Å; angles 90.00, 90.00, 90.00 degrees
Element x y z (fractional)
Y  0.000  0.000  0.500
Y  0.000  0.500  0.000
Y  0.500  0.000  0.000
Hf  0.000  0.000  0.000
Fe  0.500  0.500  0.500

ΔE_f   1468 meV/atom
Excess energy over the best structure of this formula in the dataset   504 kJ/mol of formula units
DFT total energy   -6.0935 eV per atom
Symmetry   Pm-3m